1.
The following is a DFT calculation (GGA-PBE) of a relaxed AlHg2Mo crystal.

Cell lengths 2.907, 2.907, 9.126 Å; angles 90.00, 90.00, 90.00 degrees
Atoms (fractional coordinates):
Mo (0.000, 0.000, 0.523)
Al (0.500, 0.500, 0.722)
Hg (0.000, 0.000, 0.978)
Hg (0.500, 0.500, 0.278)

Values from the calculation:
Fermi-level density of states: 3.253 states/eV/cell
Energy of formation from the pure elements: 28.8 kJ/mol of atoms
Calculated total energy: -14.0 eV per cell
Crystal system: tetragonal

***

2.
The following is a DFT calculation (GGA-PBE) of a relaxed AlHg3Mo crystal.

Cell lengths 5.150, 5.150, 5.150 Å; angles 90.00, 90.00, 90.00 degrees
Each line ends with the local moment (μB).
Atoms (fractional coordinates):
Al (0.000, 0.000, 0.000)  0.01
Hg (0.500, 0.000, 0.000)  0.02
Hg (0.000, 0.500, 0.000)  0.01
Hg (0.000, 0.000, 0.500)  0.03
Mo (0.500, 0.500, 0.500)  3.82

Values from the calculation:
Fermi-level density of states: 1.974 states/eV/cell
Energy of formation from the pure elements: 98.6 kJ/mol of atoms
Energy above the lowest structure with this stoichiometry: 0.0165 eV/atom
Calculated total energy: -10.4 eV per cell
Crystal system: cubic

***

3.
The following is a DFT calculation (GGA-PBE) of a relaxed AlHg2Mo crystal.

Cell lengths 4.718, 4.718, 4.718 Å; angles 60.00, 60.00, 60.00 degrees
Each line ends with the local moment (μB).
Atoms (fractional coordinates):
Hg (0.250, 0.250, 0.250)  -0.01
Hg (0.000, 0.000, 0.000)  -0.01
Al (0.500, 0.500, 0.500)  -0.01
Mo (0.750, 0.750, 0.750)  0.42

Values from the calculation:
Fermi-level density of states: 3.878 states/eV/cell
Energy of formation from the pure elements: 62.4 kJ/mol of atoms
Calculated total energy: -12.6 eV per cell
Crystal system: cubic

***

4.
The following is a DFT calculation (GGA-PBE) of a relaxed AlHg2Mo crystal.

Cell lengths 5.207, 5.207, 2.992 Å; angles 90.00, 90.00, 113.80 degrees
Atoms (fractional coordinates):
Hg (0.500, 0.500, 0.000)
Hg (0.000, 0.000, 0.000)
Al (0.000, 0.500, 0.500)
Mo (0.500, 0.000, 0.500)

Values from the calculation:
Fermi-level density of states: 2.220 states/eV/cell
Energy of formation from the pure elements: 39.0 kJ/mol of atoms
Calculated total energy: -13.6 eV per cell
Crystal system: orthorhombic